# 1
# BaLaRe2 GGA-PBEsol relaxed
data_BaLaRe2
_chemical_formula_sum 'Ba1 La1 Re2'
_symmetry_space_group_name_H-M 'P m m 2'
_symmetry_Int_Tables_number 25
_cell_length_a 3.2017
_cell_length_b 3.7908
_cell_length_c 9.2305
_cell_angle_alpha 90.00
_cell_angle_beta 90.00
_cell_angle_gamma 90.00
loop_
_symmetry_equiv_pos_as_xyz
'x,y,z'
'-x,-y,z'
'-x,y,z'
'x,-y,z'
loop_
_atom_site_label
_atom_site_type_symbol
_atom_site_fract_x
_atom_site_fract_y
_atom_site_fract_z
Ba1 Ba 0.0000 0.0000 0.0000
La1 La 0.5000 0.5000 0.4027
Re1 Re 0.0000 0.0000 0.6515
Re2 Re 0.5000 0.5000 0.7101
# calculated formation energy: 2.3 eV per formula unit
# DFT total energy: -7.971 eV per atom
# DOS at the Fermi energy: 5.448 states/eV/cell
# E above lowest polymorph: 0.0000 eV/atom
# density: 9.61 g/cm3

***

# 2
# NaCo3O6 GGA-PBEsol relaxed
data_NaCo3O6
_chemical_formula_sum 'Na2 Co6 O12'
_symmetry_space_group_name_H-M 'C 1 2/m 1'
_symmetry_Int_Tables_number 12
_cell_length_a 4.8224
_cell_length_b 8.3463
_cell_length_c 5.7925
_cell_angle_alpha 90.00
_cell_angle_beta 105.95
_cell_angle_gamma 90.00
loop_
_symmetry_equiv_pos_as_xyz
'x,y,z'
'-x,-y,-z'
'-x,y,-z'
'x,-y,z'
'x+1/2,y+1/2,z'
'-x+1/2,-y+1/2,-z'
'-x+1/2,y+1/2,-z'
'x+1/2,-y+1/2,z'
loop_
_atom_site_label
_atom_site_type_symbol
_atom_site_fract_x
_atom_site_fract_y
_atom_site_fract_z
Na1 Na 0.0000 0.0000 0.0000
Co1 Co 0.0000 0.1684 0.5000
Co2 Co 0.0000 0.5000 0.5000
O1 O 0.2197 0.0000 0.6682
O2 O 0.2246 0.3347 0.6714
# DFT total energy: -6.801 eV per atom
# DOS at the Fermi energy: 14.272 states/eV/cell
# density: 4.38 g/cm3

***

# 3
# SrOsC3 GGA-PBEsol relaxed
data_SrOsC3
_chemical_formula_sum 'Sr1 Os1 C3'
_symmetry_space_group_name_H-M 'P m -3 m'
_symmetry_Int_Tables_number 221
_symmetry_space_group_name_Hall '-P 4 2 3'
_cell_length_a 4.1409
_cell_length_b 4.1409
_cell_length_c 4.1409
_cell_angle_alpha 90.00
_cell_angle_beta 90.00
_cell_angle_gamma 90.00
loop_
_atom_site_label
_atom_site_type_symbol
_atom_site_fract_x
_atom_site_fract_y
_atom_site_fract_z
Sr1 Sr 0.0000 0.0000 0.0000
Os1 Os 0.5000 0.5000 0.5000
C1 C 0.0000 0.0000 0.5000
# calculated formation energy: 21.6 eV per formula unit
# DFT total energy: -4.277 eV per atom
# DOS at the Fermi energy: 3.840 states/eV/cell
# E above lowest polymorph: 3.2464 eV/atom
# density: 7.34 g/cm3

***

# 4
# Be3AlCo GGA-PBEsol relaxed
data_Be3AlCo
_chemical_formula_sum 'Be3 Al1 Co1'
_symmetry_space_group_name_H-M 'P m -3 m'
_symmetry_Int_Tables_number 221
_symmetry_space_group_name_Hall '-P 4 2 3'
_cell_length_a 4.1263
_cell_length_b 4.1263
_cell_length_c 4.1263
_cell_angle_alpha 90.00
_cell_angle_beta 90.00
_cell_angle_gamma 90.00
loop_
_atom_site_label
_atom_site_type_symbol
_atom_site_fract_x
_atom_site_fract_y
_atom_site_fract_z
Be1 Be 0.0000 0.0000 0.5000
Al1 Al 0.0000 0.0000 0.0000
Co1 Co 0.5000 0.5000 0.5000
# calculated formation energy: 7.3 eV per formula unit
# DFT total energy: -3.301 eV per atom
# DOS at the Fermi energy: 7.110 states/eV/cell
# density: 2.67 g/cm3